Density functional theory data (PBE+U) for a geometry-optimized Tl2CoSnO structure.

Unit cell a=5.8072 b=3.5072 c=5.8072 alpha=90.00 beta=90.00 gamma=90.00
Atoms (fractional coordinates):
Tl: 0.0000 0.0000 0.5000
Tl: 0.5000 0.0000 0.0000
Co: 0.0000 0.0000 0.0000
Sn: 0.5000 0.5000 0.5000
O: 0.0000 0.5000 0.0000

Results
- DOS(E_F) (states/eV per atom) = 0.47
- E_tot (eV per atom) = -3.911
- SG = P4/mmm, No. 123
- magnetization (μB per formula unit) = 2.14